(1)
# NaAlCdF6 PBE-GGA relaxed
data_NaAlCdF6
_chemical_formula_sum 'Na4 Al4 Cd4 F24'
_symmetry_space_group_name_H-M 'P n m a'
_symmetry_Int_Tables_number 62
_symmetry_space_group_name_Hall '-P 2ac 2n'
_cell_length_a 12.284
_cell_length_b 3.607
_cell_length_c 9.670
_cell_angle_alpha 90.00
_cell_angle_beta 90.00
_cell_angle_gamma 90.00
loop_
_atom_site_label
_atom_site_type_symbol
_atom_site_fract_x
_atom_site_fract_y
_atom_site_fract_z
_atom_site_occupancy
Na1 Na 0.085 0.250 0.167 1
Al1 Al 0.161 0.250 0.820 1
Cd1 Cd 0.118 0.750 0.492 1
F1 F 0.022 0.250 0.867 1
F2 F 0.040 0.250 0.390 1
F3 F 0.134 0.250 0.636 1
F4 F 0.163 0.750 0.814 1
F5 F 0.193 0.750 0.276 1
F6 F 0.201 0.250 0.999 1
# total DFT energy (no corrections)	-0.3561	Ry/atom
# mass density	4.284	g cm⁻³

(2)
# Sn2As2Os3 PBE-GGA relaxed
data_Sn2As2Os3
_chemical_formula_sum 'Sn6 As6 Os9'
_symmetry_space_group_name_H-M 'R 3 m'
_symmetry_Int_Tables_number 160
_symmetry_space_group_name_Hall 'R 3 -2"'
_cell_length_a 4.3668
_cell_length_b 4.3668
_cell_length_c 22.7508
_cell_angle_alpha 90.00
_cell_angle_beta 90.00
_cell_angle_gamma 120.00
loop_
_atom_site_label
_atom_site_type_symbol
_atom_site_fract_x
_atom_site_fract_y
_atom_site_fract_z
_atom_site_occupancy
Sn1 Sn 0.0000 0.0000 0.0000 1
Sn2 Sn 0.0000 0.0000 0.4897 1
As1 As 0.0000 0.0000 0.2377 1
As2 As 0.0000 0.0000 0.7453 1
Os1 Os 0.0000 0.0000 0.3696 1
Os2 Os 0.0000 0.0000 0.6208 1
Os3 Os 0.0000 0.0000 0.8777 1
# total DFT energy (no corrections)	-0.5062	Ry/atom
# size of the total moment	0.04	μB/cell
# mass density	12.701	g cm⁻³

(3)
# Ba2CdTcN6 PBE-GGA relaxed
data_Ba2CdTcN6
_chemical_formula_sum 'Ba4 Cd2 Tc2 N12'
_symmetry_space_group_name_H-M 'I 4/m'
_symmetry_Int_Tables_number 87
_symmetry_space_group_name_Hall '-I 4'
_cell_length_a 5.959
_cell_length_b 5.959
_cell_length_c 8.435
_cell_angle_alpha 90.00
_cell_angle_beta 90.00
_cell_angle_gamma 90.00
loop_
_atom_site_label
_atom_site_type_symbol
_atom_site_fract_x
_atom_site_fract_y
_atom_site_fract_z
_atom_site_occupancy
Ba1 Ba 0.000 0.500 0.250 1
Cd1 Cd 0.000 0.000 0.000 1
Tc1 Tc 0.000 0.000 0.500 1
N1 N 0.000 0.000 0.268 1
N2 N 0.225 0.762 0.500 1
# total DFT energy (no corrections)	-0.4367	Ry/atom
# size of the total moment	1.19	μB/cell
# mass density	6.310	g cm⁻³

(4)
# RbPu2F8 PBE-GGA relaxed
data_RbPu2F8
_chemical_formula_sum 'Rb1 Pu2 F8'
_symmetry_space_group_name_H-M 'P 4/m m m'
_symmetry_Int_Tables_number 123
_symmetry_space_group_name_Hall '-P 4 2'
_cell_length_a 5.395
_cell_length_b 5.395
_cell_length_c 6.371
_cell_angle_alpha 90.00
_cell_angle_beta 90.00
_cell_angle_gamma 90.00
loop_
_atom_site_label
_atom_site_type_symbol
_atom_site_fract_x
_atom_site_fract_y
_atom_site_fract_z
_atom_site_occupancy
Rb1 Rb 0.000 0.000 0.000 1
Pu1 Pu 0.000 0.500 0.500 1
F1 F 0.251 0.251 0.299 1
# total DFT energy (no corrections)	-0.5481	Ry/atom
# size of the total moment	9.00	μB/cell
# mass density	6.496	g cm⁻³

(5)
# HoTmLu6 PBE-GGA relaxed
data_HoTmLu6
_chemical_formula_sum 'Ho1 Tm1 Lu6'
_symmetry_space_group_name_H-M 'P -6 m 2'
_symmetry_Int_Tables_number 187
_symmetry_space_group_name_Hall 'P -6 2'
_cell_length_a 7.0297
_cell_length_b 7.0297
_cell_length_c 5.4837
_cell_angle_alpha 90.00
_cell_angle_beta 90.00
_cell_angle_gamma 120.00
loop_
_atom_site_label
_atom_site_type_symbol
_atom_site_fract_x
_atom_site_fract_y
_atom_site_fract_z
_atom_site_occupancy
Ho1 Ho 0.0000 0.0000 0.0000 1
Tm1 Tm 0.3333 0.6667 0.5000 1
Lu1 Lu 0.3351 0.1675 0.5000 1
Lu2 Lu 0.5009 0.0017 0.0000 1
# total DFT energy (no corrections)	-0.3325	Ry/atom
# size of the total moment	0.03	μB/cell
# mass density	9.790	g cm⁻³

(6)
# Li2ScCdIn2Ir2 PBE-GGA relaxed
data_Li2ScCdIn2Ir2
_chemical_formula_sum 'Li2 Sc1 Cd1 In2 Ir2'
_symmetry_space_group_name_H-M 'P -4 m 2'
_symmetry_Int_Tables_number 115
_symmetry_space_group_name_Hall 'P -4 -2'
_cell_length_a 4.583
_cell_length_b 4.583
_cell_length_c 6.544
_cell_angle_alpha 90.00
_cell_angle_beta 90.00
_cell_angle_gamma 90.00
loop_
_atom_site_label
_atom_site_type_symbol
_atom_site_fract_x
_atom_site_fract_y
_atom_site_fract_z
_atom_site_occupancy
Li1 Li 0.000 0.500 0.233 1
Sc1 Sc 0.000 0.000 0.500 1
Cd1 Cd 0.500 0.500 0.000 1
In1 In 0.000 0.000 0.000 1
In2 In 0.500 0.500 0.500 1
Ir1 Ir 0.000 0.500 0.743 1
# total DFT energy (no corrections)	-0.3466	Ry/atom
# size of the total moment	0.00	μB/cell
# mass density	9.487	g cm⁻³